Record 1
This record from Alexandria describes a geometry-optimized BaPS2N structure. The functional is PBEsol.

```
BaPS2N
1.0
-3.287 0.935 0.876
-1.694 -4.364 -1.700
0.632 -2.004 4.515
P S Ba N
1 2 1 1
direct
0.000 0.000 0.000
0.000 0.000 0.500
0.000 0.500 0.000
0.500 0.500 0.500
0.500 0.000 0.000
```

Values from the calculation:
formation energy (no corrections) = -400 meV/atom
space group = P4/mmm, No. 123

Record 2
This record from Alexandria describes a geometry-optimized Tb3Rh structure. The functional is PBEsol.

```
Tb3Rh
1.0
6.180 0.000 0.000
0.000 7.054 0.000
0.000 0.000 9.401
Tb Rh
12 4
direct
0.331 0.677 0.063
0.169 0.177 0.437
0.669 0.323 0.563
0.831 0.823 0.937
0.669 0.323 0.937
0.831 0.823 0.563
0.331 0.677 0.437
0.169 0.177 0.063
0.862 0.534 0.250
0.638 0.034 0.250
0.138 0.466 0.750
0.362 0.966 0.750
0.062 0.881 0.250
0.438 0.381 0.250
0.938 0.119 0.750
0.562 0.619 0.750
```

Values from the calculation:
space group = Pnma, No. 62
DFT formation energy = -0.49 eV/atom

Record 3
This record from Alexandria describes a geometry-optimized LaReAsSe2 structure. The functional is PBEsol.

```
LaReAsSe2
1.0
5.541 0.000 0.000
0.000 5.541 0.000
0.000 0.000 5.675
Re As Se La
1 1 2 1
direct
0.500 0.500 0.500
0.000 0.000 0.500
0.000 0.500 0.000
0.500 0.000 0.000
0.000 0.000 0.000
```

Values from the calculation:
formation energy (no corrections) = 1351 meV/atom
space group = P4/mmm, No. 123

no.,size of the total moment (μB per formula unit)
1,0.00
2,0.00
3,4.44